Record 1
A plane-wave DFT calculation with GGA-PBE was carried out for a relaxed PmCrC crystal.

a b c (Å): 9.019 4.583 4.984
angles (deg): 90.00 101.52 90.00
Fractional positions:
Pm  0.204  0.011  0.358
Pm  0.204  0.489  0.858
Pm  0.796  0.511  0.142
Pm  0.796  0.989  0.642
Cr  0.483  0.729  0.654
Cr  0.483  0.771  0.154
Cr  0.517  0.229  0.846
Cr  0.517  0.271  0.346
C  0.337  0.527  0.355
C  0.337  0.973  0.855
C  0.663  0.027  0.145
C  0.663  0.473  0.645

Computed properties:
Crystal system   monoclinic
DOS(E_F)   2.14 states/eV/f.u.
Formation energy   -0.11 eV/f.u.

***

Record 2
A plane-wave DFT calculation with GGA-PBE was carried out for a relaxed BaPuTcN3 crystal.

a b c (Å): 6.999 3.561 9.155
angles (deg): 90.00 105.05 90.00
Fractional positions:
Ba  0.215  0.250  0.230
Ba  0.785  0.750  0.770
Pu  0.341  0.250  0.856
Pu  0.659  0.750  0.144
Tc  0.128  0.750  0.571
Tc  0.872  0.250  0.429
N  0.038  0.250  0.653
N  0.331  0.750  0.017
N  0.384  0.750  0.708
N  0.616  0.250  0.292
N  0.669  0.250  0.983
N  0.962  0.750  0.347

Computed properties:
Calculated total energy   -111.0 eV per cell
Crystal system   monoclinic
DOS(E_F)   8.04 states/eV/f.u.

***

Record 3
A plane-wave DFT calculation with GGA-PBE was carried out for a relaxed ErLuAlTl crystal.

a b c (Å): 5.181 5.181 5.181
angles (deg): 60.00 60.00 60.00
Fractional positions:
Er  0.000  0.000  0.000
Lu  0.500  0.500  0.500
Al  0.750  0.750  0.750
Tl  0.250  0.250  0.250

Computed properties:
Crystal system   cubic
DOS(E_F)   1.58 states/eV/f.u.
Formation energy   -1.19 eV/f.u.

***

Record 4
A plane-wave DFT calculation with GGA-PBE was carried out for a relaxed YTaGa4 crystal.

a b c (Å): 5.303 5.303 5.303
angles (deg): 60.00 60.00 60.00
Fractional positions:
Y  0.000  0.000  0.000
Ta  0.750  0.750  0.750
Ga  0.376  0.376  0.376
Ga  0.376  0.376  0.873
Ga  0.376  0.873  0.376
Ga  0.873  0.376  0.376

Computed properties:
Crystal system   cubic
DOS(E_F)   1.06 states/eV/f.u.
Formation energy   -1.45 eV/f.u.